Record 1
Material: SiPRh
Method: DFT, PBE
State: relaxed

Values from the calculation:
The calculation puts the uncorrected formation energy at -0.248 eV per atom. The value obtained for the density of states at the Fermi level is 0.555 states/eV per atom.

CIF file:
```
data_SiPRh
_cell_length_a 2.734
_cell_length_b 3.500
_cell_length_c 5.060
_cell_angle_alpha 90.00
_cell_angle_beta 100.74
_cell_angle_gamma 90.00
_symmetry_space_group_name_H-M 'P 1 m 1'
_symmetry_Int_Tables_number 6
loop_
_symmetry_equiv_pos_as_xyz
'x,y,z'
'x,-y,z'
loop_
_atom_site_label
_atom_site_fract_x
_atom_site_fract_y
_atom_site_fract_z
_atom_site_occupancy
Si1 0.000 0.000 0.000 1
P1 0.777 0.000 0.546 1
Rh1 0.588 0.500 0.228 1
```

Record 2
Material: UBRh5
Method: DFT, PBE
State: relaxed

Values from the calculation:
The value obtained for the density of states at the Fermi level is 0.630 states/eV per atom. As for the formation enthalpy at 0 K: -209 meV per atom.

CIF file:
```
data_UBRh5
_cell_length_a 7.809
_cell_length_b 7.575
_cell_length_c 8.003
_cell_angle_alpha 90.00
_cell_angle_beta 111.88
_cell_angle_gamma 90.00
_symmetry_space_group_name_H-M 'C 1 2/c 1'
_symmetry_Int_Tables_number 15
loop_
_symmetry_equiv_pos_as_xyz
'x,y,z'
'-x,-y,-z'
'-x,y,-z+1/2'
'x,-y,z+1/2'
'x+1/2,y+1/2,z'
'-x+1/2,-y+1/2,-z'
'-x+1/2,y+1/2,-z+1/2'
'x+1/2,-y+1/2,z+1/2'
loop_
_atom_site_label
_atom_site_fract_x
_atom_site_fract_y
_atom_site_fract_z
_atom_site_occupancy
U1 0.000 0.031 0.250 1
B1 0.250 0.250 0.500 1
Rh1 0.000 0.356 0.250 1
Rh2 0.132 0.286 0.677 1
Rh3 0.226 0.429 0.017 1
```

Record 3
Material: Ba2LaTa
Method: DFT, PBE
State: relaxed

Values from the calculation:
The value obtained for the density of states at the Fermi level is 0.797 states/eV per atom. As for the formation enthalpy at 0 K: 1009 meV per atom.

CIF file:
```
data_Ba2LaTa
_cell_length_a 8.369
_cell_length_b 8.369
_cell_length_c 8.369
_cell_angle_alpha 90.00
_cell_angle_beta 90.00
_cell_angle_gamma 90.00
_symmetry_space_group_name_H-M 'F m -3 m'
_symmetry_Int_Tables_number 225
_symmetry_space_group_name_Hall '-F 4 2 3'
loop_
_atom_site_label
_atom_site_fract_x
_atom_site_fract_y
_atom_site_fract_z
_atom_site_occupancy
Ba1 0.250 0.250 0.250 1
La1 0.000 0.000 0.000 1
Ta1 0.000 0.000 0.500 1
```